SrNbAsO | PBE | relaxed

Structure (POSCAR):
```
SrNbAsO
1.0
4.271 0.000 0.000
0.000 4.271 0.000
0.000 0.000 9.527
Sr O Nb As
2 2 2 2
Cartesian
1.068 1.068 1.056
3.203 3.203 8.471
1.068 3.203 0.000
3.203 1.068 0.000
3.203 1.068 4.763
1.068 3.203 4.763
3.203 3.203 3.250
1.068 1.068 6.277
```

## Properties
Its excess energy over the best structure of this formula in the dataset is 172 meV/atom. The space group is P4/nmm, No. 129. Its total energy is -6.587 eV per atom.